No. 1
First-principles (PBE) data for a geometry-optimized Cs3AgAu2I9 structure, as listed in Alexandria via LeMat-Bulk.

## Properties
magnetic moment: 0.00 μB/f.u.
electronic total energy: -2.40 eV/atom
calculated density: 5.63 g/cm3
raw formation energy: -0.67 eV/atom

a b c (Å): 8.2730 8.2730 10.1579
angles (deg): 90.00 90.00 120.00
Sites, in units of the cell vectors:
Cs 0.0000 0.0000 0.0000
Cs 0.3333 0.6667 0.6618
Cs 0.6667 0.3333 0.3382
Ag 0.0000 0.0000 0.5000
Au 0.3333 0.6667 0.1652
Au 0.6667 0.3333 0.8348
I 0.0000 0.5000 0.0000
I 0.1675 0.3349 0.3288
I 0.1675 0.8325 0.3288
I 0.3349 0.1675 0.6712
I 0.5000 0.0000 0.0000
I 0.5000 0.5000 0.0000
I 0.6651 0.8325 0.3288
I 0.8325 0.1675 0.6712
I 0.8325 0.6651 0.6712

No. 2
First-principles (PBE) data for a geometry-optimized Cs2AgIrAu structure, as listed in Alexandria via LeMat-Bulk.

## Properties
magnetic moment: 1.96 μB/f.u.
electronic total energy: -2.45 eV/atom
calculated density: 5.21 g/cm3

a b c (Å): 6.8210 6.8210 5.2214
angles (deg): 90.00 90.00 90.00
Sites, in units of the cell vectors:
Cs 0.0000 0.5000 0.0000
Cs 0.5000 0.0000 0.0000
Ag 0.0000 0.0000 0.0000
Ir 0.5000 0.5000 0.5000
Au 0.0000 0.0000 0.5000

No. 3
First-principles (PBE) data for a geometry-optimized Cs4K2AgAu2 structure, as listed in Alexandria via LeMat-Bulk.

## Properties
magnetic moment: 0.00 μB/f.u.
electronic total energy: -1.79 eV/atom
calculated density: 3.79 g/cm3

a b c (Å): 8.4903 8.4903 10.8454
angles (deg): 111.04 111.04 42.51
Sites, in units of the cell vectors:
Cs 0.0468 0.0468 0.2194
Cs 0.2375 0.2375 0.8484
Cs 0.7625 0.7625 0.1516
Cs 0.9532 0.9532 0.7806
K 0.3747 0.3747 0.4861
K 0.6253 0.6253 0.5139
Ag 0.5000 0.5000 0.0000
Au 0.4172 0.4172 0.1958
Au 0.5828 0.5828 0.8042

No. 4
First-principles (PBE) data for a geometry-optimized CsKAgAu2 structure, as listed in Alexandria via LeMat-Bulk.

## Properties
magnetic moment: 0.00 μB/f.u.
electronic total energy: -2.31 eV/atom
calculated density: 6.49 g/cm3

a b c (Å): 5.4940 5.4940 5.7136
angles (deg): 90.00 90.00 90.00
Sites, in units of the cell vectors:
Cs 0.0000 0.0000 0.0000
K 0.5000 0.5000 0.0000
Ag 0.5000 0.5000 0.5000
Au 0.0000 0.5000 0.5000
Au 0.5000 0.0000 0.5000

No. 5
First-principles (PBE) data for a geometry-optimized Cs6K2AgAu structure, as listed in Alexandria via LeMat-Bulk.

## Properties
magnetic moment: 0.00 μB/f.u.
electronic total energy: -1.39 eV/atom
calculated density: 2.45 g/cm3

a b c (Å): 18.2307 18.2307 18.2307
angles (deg): 33.03 33.03 33.03
Sites, in units of the cell vectors:
Cs 0.1296 0.6243 0.6243
Cs 0.2049 0.2049 0.7124
Cs 0.2049 0.7124 0.2049
Cs 0.2876 0.7951 0.7951
Cs 0.3757 0.3757 0.8704
Cs 0.3757 0.8704 0.3757
Cs 0.6243 0.1296 0.6243
Cs 0.6243 0.6243 0.1296
Cs 0.7124 0.2049 0.2049
Cs 0.7951 0.2876 0.7951
Cs 0.7951 0.7951 0.2876
Cs 0.8704 0.3757 0.3757
K 0.1231 0.1231 0.1231
K 0.2909 0.2909 0.2909
K 0.7091 0.7091 0.7091
K 0.8769 0.8769 0.8769
Ag 0.4162 0.4162 0.4162
Ag 0.5838 0.5838 0.5838
Au 0.0000 0.0000 0.0000
Au 0.5000 0.5000 0.5000

No. 6
First-principles (PBE) data for a geometry-optimized CsLiAg2Au structure, as listed in Alexandria via LeMat-Bulk.

## Properties
magnetic moment: 0.00 μB/f.u.
electronic total energy: -2.33 eV/atom
calculated density: 6.19 g/cm3

a b c (Å): 5.4634 5.4634 4.9642
angles (deg): 90.00 90.00 90.00
Sites, in units of the cell vectors:
Cs 0.0000 0.0000 0.0000
Li 0.5000 0.5000 0.0000
Ag 0.0000 0.5000 0.5000
Ag 0.5000 0.0000 0.5000
Au 0.5000 0.5000 0.5000

No. 7
First-principles (PBE) data for a geometry-optimized CsMn2AgAu structure, as listed in Alexandria via LeMat-Bulk.

## Properties
magnetic moment: 10.00 μB/f.u.
electronic total energy: -3.08 eV/atom
calculated density: 3.65 g/cm3

a b c (Å): 6.3856 6.3856 6.1167
angles (deg): 90.00 90.00 90.00
Sites, in units of the cell vectors:
Cs 0.0000 0.0000 0.0000
Mn 0.0000 0.5000 0.0000
Mn 0.5000 0.0000 0.0000
Ag 0.5000 0.5000 0.5000
Au 0.0000 0.0000 0.5000

No. 8
First-principles (PBE) data for a geometry-optimized CsNa2AgAu structure, as listed in Alexandria via LeMat-Bulk.

## Properties
magnetic moment: 0.00 μB/f.u.
electronic total energy: -1.94 eV/atom
calculated density: 4.57 g/cm3
offset from the most stable computed form: 0.09 eV/f.u.

a b c (Å): 5.6450 5.6450 5.5171
angles (deg): 90.00 90.00 90.00
Sites, in units of the cell vectors:
Cs 0.0000 0.0000 0.0000
Na 0.0000 0.5000 0.5000
Na 0.5000 0.0000 0.5000
Ag 0.5000 0.5000 0.5000
Au 0.5000 0.5000 0.0000